## Ir5OsRu4 (PBE)

Data for an optimized crystal structure of Ir5OsRu4.

Unit cell a=2.721 b=2.721 c=19.245 alpha=90.00 beta=90.00 gamma=90.00
Sites, in units of the cell vectors:
Ir  0.500  0.500  0.100
Ir  0.500  0.500  0.300
Ir  0.500  0.500  0.500
Ir  0.500  0.500  0.700
Ir  0.500  0.500  0.900
Os  0.000  0.000  0.000
Ru  0.000  0.000  0.201
Ru  0.000  0.000  0.400
Ru  0.000  0.000  0.600
Ru  0.000  0.000  0.799

For the offset from the most stable computed form, the calculation gives 0.000 eV/f.u. The formation energy is 2 meV/atom. The calculation puts the density of states at the Fermi level at 12.39 states/eV/cell. The calculation puts the calculated density at 18.124 g/cm³.